Here is crystalline HfZr2In at its relaxed geometry from OQMD via LeMat-Bulk. Energies are from PBE.

```
HfZr2In
1.0
0.000 3.536 3.536
3.536 0.000 3.536
3.536 3.536 0.000
Hf Zr In
1 2 1
direct
0.000 0.000 0.000
0.250 0.250 0.250
0.500 0.500 0.500
0.750 0.750 0.750
```

Summary:
The calculated total energy is -0.5501 Ry/atom. For the volume, the calculation gives 88 Å³/cell. As for the space group: No. 216.